A geometry-optimized Dy4SiPS2 structure. Source: Alexandria via LeMat-Bulk, functional PBE.

```
Dy4SiPS2
1.0
6.923 0.000 0.000
0.000 4.000 0.000
-2.308 0.000 6.538
Dy Si P S
4 1 1 2
Direct
0.242 0.000 0.247 Dy
0.245 0.500 0.749 Dy
0.755 0.500 0.251 Dy
0.758 0.000 0.753 Dy
0.000 0.000 0.500 Si
0.000 0.500 0.000 P
0.500 0.000 0.000 S
0.500 0.500 0.500 S
```

## Properties
- spin magnetization (μB/f.u.) = 0.00
- electronic total energy (eV per atom) = -6.33
- energy relative to the elements, uncorrected (eV/atom) = -1.64
- SG = P2/m (10)

***

A geometry-optimized K2ScPt structure. Source: Alexandria via LeMat-Bulk, functional PBE.

```
K2ScPt
1.0
4.449 0.000 0.000
0.000 4.469 0.000
0.000 0.000 11.798
K Sc Pt
4 2 2
Direct
0.000 0.000 0.196 K
0.000 0.000 0.804 K
0.500 0.500 0.196 K
0.500 0.500 0.804 K
0.000 0.500 0.500 Sc
0.500 0.000 0.500 Sc
0.000 0.500 0.000 Pt
0.500 0.000 0.000 Pt
```

## Properties
- calculated formation energy (eV per formula unit) = 1.9
- spin magnetization (μB/f.u.) = 0.35
- electronic total energy (eV per atom) = -3.17
- energy above the lowest structure with this stoichiometry (meV per atom) = 731
- SG = Cmmm (65)

***

A geometry-optimized RbPrSe2O8 structure. Source: Alexandria via LeMat-Bulk, functional PBE.

```
RbPrSe2O8
1.0
9.349 0.000 0.000
0.000 7.533 0.000
-0.238 0.000 11.305
Rb Pr Se O
4 4 8 32
Direct
0.064 0.147 0.343 Rb
0.064 0.353 0.843 Rb
0.936 0.647 0.157 Rb
0.936 0.853 0.657 Rb
0.447 0.667 0.652 Pr
0.447 0.833 0.152 Pr
0.553 0.167 0.848 Pr
0.553 0.333 0.348 Pr
0.233 0.660 0.413 Se
0.233 0.840 0.913 Se
0.322 0.166 0.610 Se
0.322 0.334 0.110 Se
0.678 0.666 0.890 Se
0.678 0.834 0.390 Se
0.767 0.160 0.087 Se
0.767 0.340 0.587 Se
0.101 0.531 0.369 O
0.101 0.969 0.869 O
0.146 0.154 0.606 O
0.146 0.346 0.106 O
0.211 0.742 0.045 O
0.211 0.758 0.545 O
0.267 0.684 0.811 O
0.267 0.816 0.311 O
0.375 0.159 0.196 O
0.375 0.341 0.696 O
0.384 0.544 0.447 O
0.384 0.956 0.947 O
0.387 0.167 0.474 O
0.387 0.333 0.974 O
0.403 0.001 0.689 O
0.403 0.499 0.189 O
0.597 0.501 0.811 O
0.597 0.999 0.311 O
0.613 0.667 0.026 O
0.613 0.833 0.526 O
0.616 0.044 0.053 O
0.616 0.456 0.553 O
0.625 0.659 0.304 O
0.625 0.841 0.804 O
0.733 0.184 0.689 O
0.733 0.316 0.189 O
0.789 0.242 0.455 O
0.789 0.258 0.955 O
0.854 0.654 0.894 O
0.854 0.846 0.394 O
0.899 0.031 0.131 O
0.899 0.469 0.631 O
```

## Properties
- spin magnetization (μB/f.u.) = 0.00
- electronic total energy (eV per atom) = -5.91
- energy above the lowest structure with this stoichiometry (meV per atom) = 0
- energy relative to the elements, uncorrected (eV/atom) = -1.54
- SG = P2_1/c (14)